(1)
Below is a relaxed Be2AsCl crystal, with properties calculated at the PBE level.

Summary:
Its symmetry is No. 166. The calculation puts the size of the total moment at 0.00 Bohr magnetons per cell. The value obtained for the raw formation energy is -0.087 eV/atom. The density of states at the Fermi level is 0.50 states/eV/f.u. The crystal system is trigonal.

Geometry as POSCAR:
```
Be2AsCl
1.0
3.5309 0.0000 0.0000
-1.7655 3.0579 0.0000
0.0000 0.0000 17.2106
Be As Cl
6 3 3
direct
0.0000 0.0000 0.2272
0.0000 0.0000 0.7728
0.3333 0.6667 0.4395
0.3333 0.6667 0.8938
0.6667 0.3333 0.1062
0.6667 0.3333 0.5605
0.0000 0.0000 0.5000
0.3333 0.6667 0.1667
0.6667 0.3333 0.8333
0.0000 0.0000 0.0000
0.3333 0.6667 0.6667
0.6667 0.3333 0.3333
```


(2)
Below is a relaxed Tl4InHg2 crystal, with properties calculated at the PBE level.

Summary:
Its symmetry is No. 139. The calculation puts the size of the total moment at 0.00 Bohr magnetons per cell. Its energy relative to the elements is 0.07 eV per atom. The density of states at the Fermi level is 2.94 states/eV/f.u. The crystal system is tetragonal.

Geometry as POSCAR:
```
Tl4InHg2
1.0
8.1935 0.0000 0.0000
0.0000 8.1935 0.0000
0.0000 0.0000 6.3279
Tl In Hg
8 2 4
direct
0.2043 0.2043 0.0000
0.2043 0.7957 0.0000
0.2957 0.2957 0.5000
0.2957 0.7043 0.5000
0.7043 0.2957 0.5000
0.7043 0.7043 0.5000
0.7957 0.2043 0.0000
0.7957 0.7957 0.0000
0.0000 0.0000 0.5000
0.5000 0.5000 0.0000
0.0000 0.5000 0.2500
0.0000 0.5000 0.7500
0.5000 0.0000 0.2500
0.5000 0.0000 0.7500
```


(3)
Below is a relaxed LaTbInCu crystal, with properties calculated at the PBE level.

Summary:
Its symmetry is No. 216. The calculation puts the size of the total moment at 0.01 Bohr magnetons per cell. Its energy relative to the elements is -0.27 eV per atom. The density of states at the Fermi level is 4.03 states/eV/f.u. The crystal system is cubic.

Geometry as POSCAR:
```
LaTbInCu
1.0
7.5208 0.0000 0.0000
0.0000 7.5208 0.0000
0.0000 0.0000 7.5208
La Tb In Cu
4 4 4 4
direct
0.0000 0.0000 0.0000
0.0000 0.5000 0.5000
0.5000 0.0000 0.5000
0.5000 0.5000 0.0000
0.0000 0.0000 0.5000
0.0000 0.5000 0.0000
0.5000 0.0000 0.0000
0.5000 0.5000 0.5000
0.2500 0.2500 0.7500
0.2500 0.7500 0.2500
0.7500 0.2500 0.2500
0.7500 0.7500 0.7500
0.2500 0.2500 0.2500
0.2500 0.7500 0.7500
0.7500 0.2500 0.7500
0.7500 0.7500 0.2500
```


(4)
Below is a relaxed CaMn3Re crystal, with properties calculated at the PBE level.

Summary:
Its symmetry is No. 221. The calculation puts the size of the total moment at 0.52 Bohr magnetons per cell. Its energy relative to the elements is 2.59 eV per atom. The density of states at the Fermi level is 9.91 states/eV/f.u. The crystal system is cubic.

Geometry as POSCAR:
```
CaMn3Re
1.0
4.1775 0.0000 0.0000
0.0000 4.1775 0.0000
0.0000 0.0000 4.1775
Ca Mn Re
1 3 1
direct
0.0000 0.0000 0.0000
0.0000 0.0000 0.5000
0.0000 0.5000 0.0000
0.5000 0.0000 0.0000
0.5000 0.5000 0.5000
```


(5)
Below is a relaxed ZnHgW2 crystal, with properties calculated at the PBE level.

Summary:
Its symmetry is No. 216. The calculation puts the size of the total moment at 0.00 Bohr magnetons per cell. Its energy relative to the elements is 0.74 eV per atom. The density of states at the Fermi level is 1.31 states/eV/f.u. The crystal system is cubic.

Geometry as POSCAR:
```
ZnHgW2
1.0
6.4706 0.0000 0.0000
0.0000 6.4706 0.0000
0.0000 0.0000 6.4706
Zn Hg W
4 4 8
direct
0.0000 0.0000 0.0000
0.0000 0.5000 0.5000
0.5000 0.0000 0.5000
0.5000 0.5000 0.0000
0.2500 0.2500 0.2500
0.2500 0.7500 0.7500
0.7500 0.2500 0.7500
0.7500 0.7500 0.2500
0.0000 0.0000 0.5000
0.0000 0.5000 0.0000
0.2500 0.2500 0.7500
0.2500 0.7500 0.2500
0.5000 0.0000 0.0000
0.5000 0.5000 0.5000
0.7500 0.2500 0.2500
0.7500 0.7500 0.7500
```


(6)
Below is a relaxed SbRuRhI2 crystal, with properties calculated at the PBE level.

Summary:
Its symmetry is No. 123. The calculation puts the size of the total moment at 3.06 Bohr magnetons per cell. The value obtained for the raw formation energy is 1.039 eV/atom. The density of states at the Fermi level is 3.96 states/eV/f.u. The crystal system is tetragonal.

Geometry as POSCAR:
```
SbRuRhI2
1.0
5.4894 0.0000 0.0000
0.0000 5.4894 0.0000
0.0000 0.0000 4.9755
Sb Ru Rh I
1 1 1 2
direct
0.0000 0.0000 0.0000
0.5000 0.5000 0.0000
0.0000 0.0000 0.5000
0.0000 0.5000 0.5000
0.5000 0.0000 0.5000
```